YAlRu2: relaxed, PBE.

Computed properties:
* calculated formation energy: -1.45 eV per formula unit
* V: 67 Å³/f.u.
* calculated density: 7.9 g cm⁻³
* space group: P2/m (10)
* crystal system: monoclinic
* D(E_F): 5.6 states/eV/f.u.

Cell lengths 3.225, 3.247, 7.195 Å; angles 63.11, 90.00, 90.00 degrees
Atoms (fractional coordinates):
1 Y 0.500 0.250 0.250
2 Ru 0.000 0.039 0.964
3 Ru 0.000 0.461 0.536
4 Al 0.500 0.750 0.750